<1>
TiVCrH2: relaxed, PBE.

**Magnetic moment**: 0.0 μB per cell
**DOS(E_F)**: 4.87 states/eV/cell

Cell: 3.440 3.440 4.572 Å, 90.00 90.00 90.00°
Space group P4/mmm (No. 123)
Symmetry-distinct sites (fractional):
Ti: 0.000 0.000 0.000 x1
V: 0.500 0.500 0.000 x1
Cr: 0.000 0.000 0.500 x1
H: 0.000 0.500 0.500 x2

***

<2>
TiVCrH2: relaxed, PBE.

**Magnetic moment**: 0.0 μB per cell
**DOS(E_F)**: 3.17 states/eV/cell

Cell: 3.396 3.396 4.804 Å, 90.00 90.00 90.00°
Space group P4/mmm (No. 123)
Symmetry-distinct sites (fractional):
Ti: 0.000 0.000 0.000 x1
V: 0.000 0.000 0.500 x1
Cr: 0.500 0.500 0.000 x1
H: 0.000 0.500 0.500 x2

***

Structures ranked by computed energy, the most stable listed first: <2>, <1>.